Record 1
## Cs2TlNiBr6 (GGA-PBE)

Data for crystalline Cs2TlNiBr6 at its relaxed geometry.

Computed properties:
The value obtained for the formation energy without anion corrections is -1.0160 eV/atom. The density of states at the Fermi level is 1.9 states/eV/f.u. For the density, the calculation gives 4.87 Mg/m³. For the total magnetization, the calculation gives 1.00 μB/f.u. The value obtained for the volume is 34.41 Å³/atom. The uncorrected energy is -3.01 eV per atom.

Lattice parameters (Å, degrees): 7.866 7.866 7.866 60.00 60.00 90.00
Positions (direct):
Ni: 0.500 0.500 0.000
Br: 0.726 0.726 0.548
Br: 0.274 0.726 0.000
Cs: 0.250 0.750 0.500
Br: 0.726 0.726 0.000
Tl: 0.000 0.000 0.000
Br: 0.274 0.274 0.452
Br: 0.274 0.274 0.000
Br: 0.726 0.274 0.000
Cs: 0.750 0.250 0.500



Record 2
## CsVNi2Br8 (GGA-PBE)

Data for crystalline CsVNi2Br8 at its relaxed geometry.

Computed properties:
The value obtained for the formation energy without anion corrections is -0.6476 eV/atom. The density of states at the Fermi level is 19.0 states/eV/f.u. For the density, the calculation gives 4.04 Mg/m³. For the total magnetization, the calculation gives 5.27 μB/f.u. The value obtained for the volume is 32.17 Å³/atom. The uncorrected energy is -3.56 eV per atom.

Lattice parameters (Å, degrees): 6.646 6.646 10.797 72.07 72.07 60.00
Positions (direct):
Cs: 0.500 0.500 0.500
Br: 0.266 0.942 0.147
Ni: 0.266 0.266 0.202
Br: 0.645 0.266 0.147
Br: 0.058 0.355 0.853
Br: 0.942 0.645 0.147
Br: 0.189 0.189 0.434
V: 0.000 0.000 0.000
Br: 0.355 0.734 0.853
Br: 0.811 0.811 0.566
Ni: 0.734 0.734 0.798
Br: 0.734 0.058 0.853



Record 3
## CsVNiBr6 (GGA-PBE)

Data for crystalline CsVNiBr6 at its relaxed geometry.

Computed properties:
The value obtained for the formation energy without anion corrections is -0.8776 eV/atom. The density of states at the Fermi level is 9.1 states/eV/f.u. For the density, the calculation gives 3.77 Mg/m³. For the total magnetization, the calculation gives 4.02 μB/f.u. The value obtained for the volume is 35.32 Å³/atom. The uncorrected energy is -3.74 eV per atom.

Lattice parameters (Å, degrees): 6.668 6.668 8.256 90.00 90.00 59.99
Positions (direct):
Br: 0.000 0.628 0.675
Br: 0.371 0.000 0.676
Br: 0.371 0.628 0.324
Ni: 0.667 0.667 0.500
V: 0.333 0.333 0.500
Br: 0.628 0.000 0.324
Br: 0.000 0.371 0.324
Br: 0.628 0.371 0.676
Cs: 0.000 0.000 0.000



Question: What is the uncorrected energy in the third record?
Answer: -3.74 eV per atom



Question: Which formula does entry 2 have?
Answer: CsVNi2Br8



Question: Number 2 is which compound?
Answer: CsVNi2Br8